[1]
Below is an optimized crystal structure of ErTh2Ge, with properties calculated at the PBE level.

Unit cell a=3.910 b=3.910 c=9.696 alpha=78.37 beta=78.37 gamma=60.00
Positions (direct):
Ge: 0.000 0.000 0.000
Th: 0.266 0.266 0.201
Th: 0.734 0.734 0.799
Er: 0.500 0.500 0.500

Summary:
space-group type	No. 166
DFT total energy	-0.4501	Ry/atom
DFT formation energy	-0.119	eV per atom



[2]
Below is an optimized crystal structure of Hf2Cu3Pd, with properties calculated at the PBE level.

Unit cell a=7.279 b=7.279 c=9.503 alpha=60.66 beta=154.27 gamma=117.62
Positions (direct):
Hf: 0.755 0.126 0.377
Hf: 0.245 0.874 0.623
Hf: 0.751 0.622 0.877
Hf: 0.249 0.378 0.123
Cu: 0.660 0.669 0.496
Cu: 0.340 0.331 0.504
Cu: 0.673 0.163 0.004
Cu: 0.817 0.067 0.750
Cu: 0.327 0.837 0.996
Cu: 0.183 0.933 0.250
Pd: 0.851 0.601 0.250
Pd: 0.149 0.399 0.750

Summary:
space-group type	No. 74
DFT total energy	-0.4772	Ry/atom
DFT formation energy	-0.262	eV per atom



[3]
Below is an optimized crystal structure of YTmSbAs, with properties calculated at the PBE level.

Unit cell a=4.186 b=4.187 c=7.546 alpha=90.00 beta=106.10 gamma=120.00
Positions (direct):
Y: 0.956 0.376 0.347
Tm: 0.318 0.557 0.890
Sb: 0.474 0.135 0.624
As: 0.130 0.963 0.108

Summary:
space-group type	No. 160
DFT total energy	-0.4511	Ry/atom
formation energy from raw total energies	-1.210	eV/atom



[4]
Below is an optimized crystal structure of BaLiMoBr2, with properties calculated at the PBE level.

Unit cell a=5.194 b=5.586 c=5.194 alpha=90.00 beta=90.00 gamma=90.00
Each line ends with the local moment (μB).
Positions (direct):
Mo: 0.000 0.500 0.000  3.80
Ba: 0.500 0.500 0.500  0.01
Br: 0.000 0.000 0.500  0.06
Br: 0.500 0.000 0.000  0.05
Li: 0.000 0.000 0.000  0.04

Summary:
space-group type	No. 123
DFT total energy	-0.2752	Ry/atom
formation energy from raw total energies	-0.142	eV/atom



[5]
Below is an optimized crystal structure of Ce2TiSn8, with properties calculated at the PBE level.

Unit cell a=4.768 b=4.768 c=12.416 alpha=90.00 beta=90.00 gamma=90.00
Positions (direct):
Ce: 0.000 0.000 0.309
Ce: 0.000 0.000 0.691
Ti: 0.000 0.000 0.000
Sn: 0.000 0.500 0.500
Sn: 0.500 0.000 0.500
Sn: 0.500 0.500 0.316
Sn: 0.500 0.500 0.684
Sn: 0.000 0.500 0.127
Sn: 0.500 0.000 0.127
Sn: 0.000 0.500 0.873
Sn: 0.500 0.000 0.873

Summary:
space-group type	No. 123
DFT total energy	-0.3773	Ry/atom
DFT formation energy	-0.426	eV per atom



[6]
Below is an optimized crystal structure of ZnMoCl2, with properties calculated at the PBE level.

Unit cell a=3.197 b=3.731 c=7.796 alpha=78.07 beta=90.00 gamma=90.00
Each line ends with the local moment (μB).
Positions (direct):
Mo: 0.000 0.285 0.570  0.79
Zn: 0.500 0.729 0.701  0.01
Cl: 0.000 0.089 0.895  0.02
Cl: 0.500 0.398 0.334  0.01

Summary:
space-group type	No. 6
DFT total energy	-0.3066	Ry/atom
formation energy from raw total energies	-0.222	eV/atom
distance to the lowest polymorph of the same formula	101	meV/atom



[7]
Below is an optimized crystal structure of Ga2PdIO, with properties calculated at the PBE level.

Unit cell a=5.267 b=3.970 c=5.267 alpha=90.00 beta=90.00 gamma=90.00
Each line ends with the local moment (μB).
Positions (direct):
I: 0.500 0.500 0.500  0.00
O: 0.000 0.500 0.000  -0.30
Ga: 0.000 0.000 0.500  0.00
Ga: 0.500 0.000 0.000  0.01
Pd: 0.000 0.000 0.000  -0.24

Summary:
space-group type	No. 123
DFT total energy	-0.2782	Ry/atom
formation energy from raw total energies	-0.234	eV/atom



[8]
Below is an optimized crystal structure of LaNb2I, with properties calculated at the PBE level.

Unit cell a=4.985 b=4.985 c=4.985 alpha=60.00 beta=60.00 gamma=60.00
Positions (direct):
I: 0.000 0.000 0.000
Nb: 0.250 0.250 0.250
Nb: 0.750 0.750 0.750
La: 0.500 0.500 0.500

Summary:
space-group type	No. 225
DFT total energy	-0.4370	Ry/atom
formation energy from raw total energies	0.709	eV/atom
distance to the lowest polymorph of the same formula	0	meV/atom



[9]
Below is an optimized crystal structure of ZnCoRh6, with properties calculated at the PBE level.

Unit cell a=3.803 b=4.654 c=7.136 alpha=77.74 beta=74.55 gamma=65.89
Each line ends with the local moment (μB).
Positions (direct):
Zn: 0.000 0.500 0.500  -0.01
Co: 0.000 0.000 0.000  1.89
Rh: 0.249 0.874 0.627  0.11
Rh: 0.501 0.242 0.756  0.14
Rh: 0.251 0.375 0.123  0.21
Rh: 0.499 0.758 0.244  0.14
Rh: 0.751 0.126 0.373  0.11
Rh: 0.749 0.625 0.877  0.21

Summary:
space-group type	No. 12
DFT total energy	-0.4870	Ry/atom
DFT formation energy	-0.065	eV per atom



[10]
Below is an optimized crystal structure of Tb2PaBiO8, with properties calculated at the PBE level.

Unit cell a=3.753 b=5.445 c=7.880 alpha=94.50 beta=90.00 gamma=90.00
Positions (direct):
Tb: 0.500 0.501 0.747
Tb: 0.500 0.499 0.253
Pa: 0.000 0.000 0.500
Bi: 0.000 0.000 0.000
O: 0.000 0.738 0.275
O: 0.500 0.760 0.019
O: 0.000 0.221 0.236
O: 0.000 0.262 0.725
O: 0.500 0.240 0.981
O: 0.000 0.779 0.764
O: 0.500 0.761 0.517
O: 0.500 0.239 0.483

Summary:
space-group type	No. 10
DFT total energy	-0.5874	Ry/atom
formation energy from raw total energies	-2.800	eV/atom



[11]
Below is an optimized crystal structure of LaZr2Pt2, with properties calculated at the PBE level.

Unit cell a=4.681 b=4.681 c=6.366 alpha=68.43 beta=68.43 gamma=90.00
Positions (direct):
Zr: 0.750 0.250 0.500
Zr: 0.250 0.750 0.500
Pt: 0.376 0.376 0.248
Pt: 0.624 0.624 0.752
La: 0.000 0.000 0.000

Summary:
space-group type	No. 139
DFT total energy	-0.5664	Ry/atom
DFT formation energy	-0.885	eV per atom
distance to the lowest polymorph of the same formula	0	meV/atom



[12]
Below is an optimized crystal structure of Tb3IrRh2, with properties calculated at the PBE level.

Unit cell a=4.869 b=4.869 c=5.957 alpha=90.00 beta=90.00 gamma=120.00
Positions (direct):
Tb: 0.000 0.000 0.500
Tb: 0.667 0.333 0.836
Tb: 0.333 0.667 0.164
Ir: 0.000 0.000 0.000
Rh: 0.667 0.333 0.338
Rh: 0.333 0.667 0.662

Summary:
space-group type	No. 164
DFT total energy	-0.5207	Ry/atom
DFT formation energy	-0.842	eV per atom



- Which value of DFT total energy does entry 5 give?
  -0.3773 Ry/atom